A plane-wave DFT calculation with PBE-GGA was carried out for Na2Cd5In4 after structural relaxation.

Lattice parameters (Å, degrees): 6.097 7.603 7.596 82.03 66.34 66.36
Positions (direct):
1 In 0.237 0.440 0.086
2 Cd 0.243 0.153 0.847
3 In 0.237 0.087 0.439
4 Cd 0.000 0.500 0.500
5 In 0.763 0.913 0.561
6 In 0.763 0.560 0.914
7 Cd 0.757 0.847 0.153
8 Cd 0.243 0.847 0.153
9 Na 0.700 0.300 0.301
10 Na 0.300 0.700 0.699
11 Cd 0.757 0.153 0.847

For the magnetization, the calculation gives 0.000 μB/cell. The value obtained for the energy of formation is -27 meV per atom. For the energy above the lowest structure with this stoichiometry, the calculation gives 0 meV/atom. The value obtained for the electronic total energy is -1.6786 eV per atom.

A plane-wave DFT calculation with PBE-GGA was carried out for Th3MgOs8 after structural relaxation.

Lattice parameters (Å, degrees): 5.404 5.401 9.388 73.28 73.30 60.02
Positions (direct):
1 Os 0.937 0.446 0.681
2 Os 0.687 0.687 0.939
3 Os 0.937 0.937 0.681
4 Os 0.437 0.934 0.193
5 Os 0.446 0.937 0.681
6 Th 0.375 0.375 0.876
7 Os 0.934 0.437 0.193
8 Mg 0.875 0.875 0.375
9 Th 0.998 0.998 0.007
10 Os 0.437 0.437 0.193
11 Os 0.187 0.188 0.438
12 Th 0.502 0.502 0.493

For the magnetization, the calculation gives 0.000 μB/cell. The value obtained for the energy of formation is -147 meV per atom. The value obtained for the electronic total energy is -9.6209 eV per atom.

A plane-wave DFT calculation with PBE-GGA was carried out for K4LiPa3O12 after structural relaxation.

Lattice parameters (Å, degrees): 7.596 7.596 7.596 109.47 109.47 109.47
Positions (direct):
1 O 0.500 0.750 0.250
2 O 0.500 0.250 0.750
3 O 0.250 0.750 0.500
4 Pa 0.500 0.000 0.500
5 O 0.729 0.729 0.000
6 O 0.750 0.500 0.250
7 Pa 0.000 0.500 0.500
8 O 0.271 0.000 0.271
9 K 0.000 0.000 0.500
10 O 0.271 0.271 0.000
11 Pa 0.500 0.500 0.000
12 K 0.500 0.000 0.000
13 K 0.000 0.500 0.000
14 O 0.729 0.000 0.729
15 O 0.000 0.729 0.729
16 O 0.250 0.500 0.750
17 Li 0.000 0.000 0.000
18 O 0.000 0.271 0.271
19 O 0.750 0.250 0.500
20 K 0.500 0.500 0.500

For the magnetization, the calculation gives 2.729 μB/cell. Its formation energy from raw total energies is -48.81 eV per formula unit. The value obtained for the electronic total energy is -7.1550 eV per atom.

A plane-wave DFT calculation with PBE-GGA was carried out for TbTlBi after structural relaxation.

Lattice parameters (Å, degrees): 3.423 3.423 8.741 101.29 101.29 90.00
Positions (direct):
1 Tb 0.765 0.765 0.529
2 Tl 0.134 0.134 0.268
3 Bi 0.951 0.951 0.903

For the magnetization, the calculation gives 0.509 μB/cell. The value obtained for the energy of formation is 44 meV per atom. For the energy above the lowest structure with this stoichiometry, the calculation gives 339 meV/atom. The value obtained for the electronic total energy is -3.5822 eV per atom.

A plane-wave DFT calculation with PBE-GGA was carried out for SrLiCeCl6 after structural relaxation.

Lattice parameters (Å, degrees): 6.873 6.873 12.833 90.00 90.00 120.00
Positions (direct):
1 Cl 0.643 0.984 0.368
2 Li 0.667 0.333 0.750
3 Cl 0.659 0.016 0.868
4 Cl 0.984 0.643 0.868
5 Cl 0.643 0.659 0.132
6 Cl 0.016 0.357 0.132
7 Cl 0.016 0.659 0.368
8 Ce 0.667 0.333 0.250
9 Cl 0.984 0.341 0.632
10 Ce 0.333 0.667 0.750
11 Cl 0.341 0.357 0.368
12 Cl 0.659 0.643 0.632
13 Cl 0.341 0.984 0.132
14 Sr 0.000 0.000 0.000
15 Cl 0.357 0.341 0.868
16 Cl 0.357 0.016 0.632
17 Sr 0.000 0.000 0.500
18 Li 0.333 0.667 0.250

For the magnetization, the calculation gives 2.000 μB/cell. Its formation energy from raw total energies is -19.71 eV per formula unit. The value obtained for the electronic total energy is -4.4800 eV per atom.

A plane-wave DFT calculation with PBE-GGA was carried out for Mo2Pt after structural relaxation.

Lattice parameters (Å, degrees): 2.770 2.770 7.125 90.00 90.00 120.00
Positions (direct):
1 Mo 0.000 0.000 0.005
2 Pt 0.667 0.333 0.333
3 Mo 0.333 0.667 0.661

For the magnetization, the calculation gives 0.000 μB/cell. The value obtained for the energy of formation is 31 meV per atom. For the energy above the lowest structure with this stoichiometry, the calculation gives 195 meV/atom. The value obtained for the electronic total energy is -9.2038 eV per atom.

A plane-wave DFT calculation with PBE-GGA was carried out for MgCu2Ir after structural relaxation.

Lattice parameters (Å, degrees): 2.721 3.863 5.340 90.00 90.00 90.00
Positions (direct):
1 Ir 0.500 0.500 0.250
2 Cu 0.000 0.000 0.013
3 Mg 0.500 0.500 0.750
4 Cu 0.000 0.000 0.487

For the magnetization, the calculation gives 0.000 μB/cell. The value obtained for the energy of formation is -8 meV per atom. The value obtained for the electronic total energy is -4.6702 eV per atom.

A plane-wave DFT calculation with PBE-GGA was carried out for Tb4Sm15In after structural relaxation.

Lattice parameters (Å, degrees): 5.057 5.057 25.557 90.00 90.00 90.00
Positions (direct):
1 Sm 0.500 0.500 0.399
2 Sm 0.000 0.500 0.500
3 In 0.000 0.000 0.000
4 Sm 0.500 0.000 0.298
5 Sm 0.500 0.500 0.601
6 Sm 0.500 0.000 0.096
7 Tb 0.000 0.000 0.198
8 Sm 0.000 0.500 0.702
9 Sm 0.500 0.500 0.196
10 Tb 0.000 0.000 0.399
11 Sm 0.500 0.500 0.000
12 Sm 0.500 0.000 0.702
13 Sm 0.500 0.000 0.500
14 Sm 0.000 0.500 0.298
15 Tb 0.000 0.000 0.601
16 Sm 0.500 0.500 0.804
17 Tb 0.000 0.000 0.802
18 Sm 0.000 0.500 0.904
19 Sm 0.000 0.500 0.096
20 Sm 0.500 0.000 0.904

For the magnetization, the calculation gives 0.000 μB/cell. The value obtained for the energy of formation is -36 meV per atom. The value obtained for the electronic total energy is -4.6382 eV per atom.

Summary of D(E_F) in states/eV per atom
0.327; 0.736; 0.852; 1.170; 0.953; 1.220; 0.683; 1.340
(order as listed above)